[1]
Mn2BeHgN | PBE-GGA | optimized geometry

Structure (POSCAR):
```
Mn2BeHgN
1.0
3.704 0.000 0.000
0.000 3.704 0.000
0.000 0.000 5.141
Mn Be Hg N
2 1 1 1
Direct
0.000 0.500 0.000
0.500 0.000 0.000
0.000 0.000 0.500
0.500 0.500 0.500
0.500 0.500 0.000
```

Summary:
D(E_F) = 2.35 states/eV per cell
E_form (uncorrected) = 0.4142 eV per atom
total magnetization = 4.6 μB/f.u.
calculated volume = 70.5 Å³ per cell

***

[2]
PmCo2Si4 | PBE-GGA | optimized geometry

Structure (POSCAR):
```
PmCo2Si4
1.0
16.489 0.000 0.000
0.000 3.967 0.000
0.000 0.000 6.239
Pm Co Si
4 8 16
Direct
0.140 0.250 0.015
0.360 0.750 0.515
0.640 0.250 0.485
0.860 0.750 0.985
0.034 0.750 0.744
0.211 0.250 0.494
0.289 0.750 0.994
0.466 0.250 0.244
0.534 0.750 0.756
0.711 0.250 0.006
0.789 0.750 0.506
0.966 0.250 0.256
0.026 0.750 0.142
0.067 0.250 0.527
0.181 0.750 0.687
0.202 0.750 0.295
0.298 0.250 0.795
0.319 0.250 0.187
0.433 0.750 0.027
0.474 0.250 0.642
0.526 0.750 0.358
0.567 0.250 0.973
0.681 0.750 0.813
0.702 0.750 0.205
0.798 0.250 0.705
0.819 0.250 0.313
0.933 0.750 0.473
0.974 0.250 0.858
```

Summary:
D(E_F) = 7.43 states/eV per cell
E_form (uncorrected) = -0.5561 eV per atom
total magnetization = 0.0 μB/f.u.
calculated volume = 408.1 Å³ per cell

***

[3]
Sb2PdCl | PBE-GGA | optimized geometry

Structure (POSCAR):
```
Sb2PdCl
1.0
-3.198 3.198 6.242
3.198 -3.198 6.242
3.198 3.198 -6.242
Sb Pd Cl
4 2 2
Direct
0.066 0.625 0.941
0.375 0.316 0.441
0.684 0.125 0.059
0.875 0.934 0.559
0.000 0.000 0.000
0.750 0.250 0.500
0.250 0.750 0.500
0.500 0.500 0.000
```

Summary:
D(E_F) = 4.93 states/eV per cell
E_form (uncorrected) = -0.0008 eV per atom
total magnetization = 0.0 μB/f.u.
calculated volume = 255.3 Å³ per cell